(1)
Entry from Alexandria via LeMat-Bulk: PuTiTe after structural relaxation (PBE).

Results
Mass density   9.84 g/cm³
Symmetry   P-6m2
D(E_F)   8.6 states/eV per cell
Energy above the lowest structure with this stoichiometry   0 meV per atom
Spin magnetization   5.24 μB per formula unit
Crystal system   hexagonal

a = 3.6630 Å, b = 4.7250 Å, c = 4.7250 Å
α = 120.00°, β = 90.00°, γ = 90.00°
Each line ends with the local moment (μB).
Fractional positions:
Te 0.1666 0.0000 0.0000  -0.05
Pu 0.6667 0.6667 0.3333  5.26
Ti 0.1667 0.3333 0.6667  -0.22

(2)
Entry from Alexandria via LeMat-Bulk: YTeI2N after structural relaxation (PBE).

Results
Mass density   5.05 g/cm³
Symmetry   P4/mmm
D(E_F)   6.2 states/eV per cell
Energy above the lowest structure with this stoichiometry   0 meV per atom
Spin magnetization   0.00 μB per formula unit
Crystal system   tetragonal

a = 6.2339 Å, b = 6.2339 Å, c = 4.0947 Å
α = 90.00°, β = 90.00°, γ = 90.00°
Fractional positions:
N 0.0000 0.0000 0.5000
Y 0.0000 0.0000 0.0000
I 0.0000 0.5000 0.0000
Te 0.5000 0.5000 0.5000
I 0.5000 0.0000 0.0000

(3)
Entry from Alexandria via LeMat-Bulk: HfCu2Sn after structural relaxation (PBE).

Results
Mass density   10.34 g/cm³
Symmetry   P4/mmm
D(E_F)   3.1 states/eV per cell
ΔH_f (0 K)   -0.135 eV per atom
Spin magnetization   0.00 μB per formula unit
Crystal system   tetragonal

a = 3.9485 Å, b = 4.1543 Å, c = 4.1543 Å
α = 90.00°, β = 90.00°, γ = 90.00°
Fractional positions:
Cu 0.0000 0.5000 0.0000
Hf 0.5000 0.5000 0.5000
Sn 0.5000 0.0000 0.0000
Cu 0.0000 0.0000 0.5000